{
  "formula": "CoNi2",
  "functional": "meta-GGA SCAN",
  "state": "single point on PBEsol structure",
  "cell": [[-2.321, -0.743, 0.144], [0.947, 0.163, -4.597], [1.792, -5.273, 1.682]],
  "species": ["Ni", "Ni", "Ni", "Ni", "Co", "Co"],
  "frac_coords": [[0.389, 0.778, 0.278], [0.721, 0.443, 0.945], [0.333, 0.667, 0.667], [0.056, 0.113, 0.610], [0.666, 0.331, 0.331], [0.001, 0.001, 0.002]],
  "formation_enthalpy_0k_ev_per_atom": 0.03,
  "m_tot_mub_per_atom": 1.118
}